Record 1
# Ba2TmCuO4

A geometry-optimized Ba2TmCuO4 structure (PBE, Alexandria).

## Properties
Calculated total energy   -6.2500 eV per atom
Symmetry   I-4, No. 82

Cell: 6.1284 6.1284 7.7668 Å, 90.00 90.00 90.00°
Atoms (fractional coordinates):
Ba 0.0000 0.0000 0.0000
Ba 0.0000 0.5000 0.2500
Ba 0.5000 0.0000 0.7500
Ba 0.5000 0.5000 0.5000
Tm 0.0000 0.5000 0.7500
Tm 0.5000 0.0000 0.2500
Cu 0.0000 0.0000 0.5000
Cu 0.5000 0.5000 0.0000
O 0.1839 0.2642 0.6108
O 0.2358 0.6839 0.8892
O 0.2642 0.8161 0.3892
O 0.3161 0.2358 0.1108
O 0.6839 0.7642 0.1108
O 0.7358 0.1839 0.3892
O 0.7642 0.3161 0.8892
O 0.8161 0.7358 0.6108

=====

Record 2
# BaTm2CuO5

A geometry-optimized BaTm2CuO5 structure (PBE, Alexandria).

## Properties
Symmetry   Pnma, No. 62
Offset from the most stable computed form   0 meV/atom
N(E_F)   0.04 states/eV per atom

Cell: 12.1303 5.6486 7.1424 Å, 90.00 90.00 90.00°
Atoms (fractional coordinates):
Ba 0.0963 0.2500 0.0692
Ba 0.4037 0.7500 0.5692
Ba 0.5963 0.2500 0.4308
Ba 0.9037 0.7500 0.9308
Tm 0.0739 0.7500 0.3975
Tm 0.2131 0.2500 0.6138
Tm 0.2869 0.7500 0.1138
Tm 0.4261 0.2500 0.8975
Tm 0.5739 0.7500 0.1025
Tm 0.7131 0.2500 0.8862
Tm 0.7869 0.7500 0.3862
Tm 0.9261 0.2500 0.6025
Cu 0.1605 0.7500 0.7823
Cu 0.3395 0.2500 0.2823
Cu 0.6605 0.7500 0.7177
Cu 0.8395 0.2500 0.2177
O 0.0682 0.5034 0.6593
O 0.0682 0.9966 0.6593
O 0.1010 0.7500 0.0876
O 0.2281 0.0019 0.3582
O 0.2281 0.4981 0.3582
O 0.2719 0.5019 0.8582
O 0.2719 0.9981 0.8582
O 0.3990 0.2500 0.5876
O 0.4318 0.0034 0.1593
O 0.4318 0.4966 0.1593
O 0.5682 0.5034 0.8407
O 0.5682 0.9966 0.8407
O 0.6010 0.7500 0.4124
O 0.7281 0.0019 0.1418
O 0.7281 0.4981 0.1418
O 0.7719 0.5019 0.6418
O 0.7719 0.9981 0.6418
O 0.8990 0.2500 0.9124
O 0.9318 0.0034 0.3407
O 0.9318 0.4966 0.3407

=====

Record 3
# BaUCuO5

A geometry-optimized BaUCuO5 structure (PBE, Alexandria).

## Properties
Calculated total energy   -7.6943 eV per atom
Symmetry   C2/c, No. 15
N(E_F)   0.40 states/eV per atom

Cell: 6.0845 6.0845 8.0441 Å, 101.03 101.03 111.13°
Atoms (fractional coordinates):
Ba 0.1683 0.8317 0.7500
Ba 0.8317 0.1683 0.2500
U 0.5000 0.5000 0.0000
U 0.5000 0.5000 0.5000
Cu 0.1802 0.8198 0.2500
Cu 0.8198 0.1802 0.7500
O 0.1408 0.2433 0.9180
O 0.2317 0.6197 0.4077
O 0.2433 0.1408 0.4180
O 0.3803 0.7683 0.0923
O 0.4314 0.5686 0.7500
O 0.5686 0.4314 0.2500
O 0.6197 0.2317 0.9077
O 0.7567 0.8592 0.5820
O 0.7683 0.3803 0.5923
O 0.8592 0.7567 0.0820

=====

Record 4
# Ba3UCu2O9

A geometry-optimized Ba3UCu2O9 structure (PBE, Alexandria).

## Properties
Calculated total energy   -6.8105 eV per atom
Symmetry   P-3m1, No. 164
N(E_F)   0.42 states/eV per atom

Cell: 5.8122 5.8122 7.2598 Å, 90.00 90.00 120.00°
Atoms (fractional coordinates):
Ba 0.0000 0.0000 0.0000
Ba 0.3333 0.6667 0.6979
Ba 0.6667 0.3333 0.3021
U 0.0000 0.0000 0.5000
Cu 0.3333 0.6667 0.1560
Cu 0.6667 0.3333 0.8440
O 0.0000 0.5000 0.0000
O 0.1665 0.3331 0.3316
O 0.1665 0.8335 0.3316
O 0.3331 0.1665 0.6684
O 0.5000 0.0000 0.0000
O 0.5000 0.5000 0.0000
O 0.6669 0.8335 0.3316
O 0.8335 0.1665 0.6684
O 0.8335 0.6669 0.6684

=====

Record 5
# BaUCu2O8

A geometry-optimized BaUCu2O8 structure (PBE, Alexandria).

## Properties
Calculated total energy   -6.4652 eV per atom
Symmetry   I-4m2, No. 119
N(E_F)   0.78 states/eV per atom

Cell: 6.1477 6.1477 6.1477 Å, 108.30 108.30 111.84°
Atoms (fractional coordinates):
Ba 0.0000 0.0000 0.0000
U 0.2500 0.7500 0.5000
Cu 0.5000 0.5000 0.0000
Cu 0.7500 0.2500 0.5000
O 0.3264 0.1101 0.7837
O 0.3264 0.5427 0.2163
O 0.3926 0.0456 0.3470
O 0.4573 0.6736 0.7837
O 0.6986 0.0456 0.6530
O 0.8899 0.6736 0.2163
O 0.9544 0.3014 0.3470
O 0.9544 0.6074 0.6530

=====

Record 6
# BaU2CuO8

A geometry-optimized BaU2CuO8 structure (PBE, Alexandria).

## Properties
Calculated total energy   -8.2583 eV per atom
Symmetry   P-1, No. 2

Cell: 5.2935 5.3049 7.0353 Å, 89.13 89.14 80.98°
Atoms (fractional coordinates):
Ba 0.0000 0.0000 0.0000
U 0.4991 0.4991 0.2609
U 0.5009 0.5009 0.7391
Cu 0.0000 0.0000 0.5000
O 0.2070 0.7857 0.6990
O 0.2130 0.7917 0.3010
O 0.3420 0.3415 0.4962
O 0.3454 0.3440 0.9926
O 0.6546 0.6560 0.0074
O 0.6580 0.6585 0.5038
O 0.7870 0.2083 0.6990
O 0.7930 0.2143 0.3010

=====

Which formula does entry 3 have? BaUCuO5